A geometry-optimized HfMgTa structure, computed with GGA-PBE.

abc: 2.993 2.993 14.658
angles: 90.06 90.06 71.72
Atoms (fractional coordinates):
Hf: 0.317 0.317 0.519
Hf: 0.817 0.817 0.984
Mg: 0.319 0.319 0.164
Mg: 0.816 0.816 0.339
Ta: 0.818 0.818 0.676
Ta: 0.320 0.320 0.826

- V: 124.7 Å³/cell
- Calculated formation energy: 0.07 eV per atom
- E: -7.73 eV per atom
- DOS(E_F): 2.79 states/eV/f.u.
- Symmetry: No. 8